YSc3O6: relaxed, GGA-PBE.

Its mass density is 4.5 g cm⁻³. The total energy comes out at -9.017 eV per atom. The formation energy from raw total energies comes out at -34.96 eV per formula unit. The density of states at the Fermi level is 0.000 states/eV/f.u.

The space group is P2_1/m (No. 11) and the conventional cell measures 8.731, 3.210 and 8.860 Å, with angles of 90.00, 108.08 and 90.00 degrees. Symmetry generates all atoms from Y at (0.057, 0.250, 0.195), Sc at (0.168, 0.250, 0.591), Sc at (0.323, 0.750, 0.991), Sc at (0.452, 0.250, 0.331), O at (0.076, 0.750, 0.408), O at (0.118, 0.250, 0.956), O at (0.206, 0.750, 0.743), O at (0.278, 0.750, 0.230), O at (0.398, 0.250, 0.559) and O at (0.464, 0.250, 0.102).